{
  "formula": "PaCoAs2Rh2",
  "functional": "PBE",
  "state": "relaxed",
  "lattice": [[4.023, 0.000, 0.000], [0.000, 7.802, 0.000], [0.000, 0.000, 6.398]],
  "species": ["As", "As", "As", "As", "Co", "Co", "Pa", "Pa", "Rh", "Rh", "Rh", "Rh"],
  "fractional_positions": [[0.000, 0.139, 0.816], [0.500, 0.793, 0.661], [0.500, 0.293, 0.339], [0.000, 0.639, 0.184], [0.500, 0.246, 0.689], [0.500, 0.746, 0.311], [0.000, 0.987, 0.383], [0.000, 0.487, 0.617], [0.500, 0.550, 0.927], [0.000, 0.829, 0.880], [0.500, 0.050, 0.073], [0.000, 0.329, 0.120]],
  "vol_a3_per_cell": 200.80,
  "space_group": "Pmc2_1, No. 26",
  "e_form_mev_per_atom": -605,
  "dos_ef_per_ev_atom": 0.6639
}


{
  "formula": "Cd3IrN",
  "functional": "PBE",
  "state": "relaxed",
  "lattice": [[4.469, 0.000, 0.000], [0.000, 4.469, 0.000], [0.000, 0.000, 4.469]],
  "species": ["Cd", "Cd", "Cd", "Ir", "N"],
  "fractional_positions": [[0.000, 0.500, 0.000], [0.000, 0.000, 0.500], [0.500, 0.000, 0.000], [0.500, 0.500, 0.500], [0.000, 0.000, 0.000]],
  "e_form_raw_mev_per_atom": 729,
  "vol_a3_per_cell": 89.25,
  "space_group": "Pm-3m, No. 221",
  "relative_energy_ev_per_atom": 0.000,
  "dos_ef_per_ev_atom": 0.3158
}


{
  "formula": "Ac2NpRu2N6",
  "functional": "PBE",
  "state": "relaxed",
  "lattice": [[-3.278, -2.792, 3.889], [-1.361, -5.580, -0.824], [3.384, -4.433, 3.998]],
  "species": ["N", "N", "N", "N", "N", "N", "Np", "Ru", "Ru", "Ac", "Ac"],
  "fractional_positions": [[0.754, 0.226, 0.265], [0.226, 0.754, 0.265], [0.246, 0.774, 0.735], [0.774, 0.246, 0.735], [0.754, 0.754, 0.265], [0.246, 0.246, 0.735], [0.000, 0.000, 0.000], [0.392, 0.392, 0.823], [0.608, 0.608, 0.177], [0.787, 0.787, 0.638], [0.213, 0.213, 0.362]],
  "e_form_raw_mev_per_atom": -518,
  "vol_a3_per_cell": 174.58,
  "space_group": "R-3m, No. 166",
  "dos_ef_per_ev_atom": 0.8827
}


{
  "formula": "PuZnCoOs",
  "functional": "PBE",
  "state": "relaxed",
  "lattice": [[-3.288, -3.007, 0.487], [-1.860, -1.892, -3.613], [0.763, -4.323, -0.910]],
  "species": ["Os", "Pu", "Co", "Zn"],
  "fractional_positions": [[0.000, 0.000, 0.000], [0.250, 0.250, 0.250], [0.500, 0.500, 0.500], [0.750, 0.750, 0.750]],
  "vol_a3_per_cell": 63.70,
  "space_group": "F-43m, No. 216",
  "e_form_mev_per_atom": 58,
  "dos_ef_per_ev_atom": 0.9057
}


{
  "formula": "K2TlAg",
  "functional": "PBE",
  "state": "relaxed",
  "lattice": [[6.878, -0.007, 0.024], [2.941, 6.218, -0.024], [-4.285, -4.094, 3.493]],
  "species": ["K", "K", "Tl", "Ag"],
  "fractional_positions": [[0.731, 0.231, 0.500], [0.030, 0.030, 0.000], [0.452, 0.452, 0.000], [0.288, 0.788, 0.500]],
  "vol_a3_per_cell": 149.13,
  "space_group": "Imm2, No. 44",
  "relative_energy_ev_per_atom": 0.025,
  "e_form_mev_per_atom": -6,
  "dos_ef_per_ev_atom": 0.5509
}


{
  "formula": "Nd5Tm3S8",
  "functional": "PBE",
  "state": "relaxed",
  "lattice": [[-1.759, -5.981, 4.875], [4.954, -6.134, 0.686], [4.212, -0.945, 6.785]],
  "species": ["Nd", "Nd", "Nd", "Nd", "Nd", "S", "S", "S", "S", "S", "S", "S", "S", "Tm", "Tm", "Tm"],
  "fractional_positions": [[0.000, 0.000, 0.000], [0.500, 0.500, 0.000], [0.500, 0.500, 0.500], [0.500, 0.000, 0.000], [0.000, 0.500, 0.000], [0.750, 0.750, 0.266], [0.250, 0.765, 0.734], [0.750, 0.235, 0.266], [0.235, 0.750, 0.266], [0.758, 0.758, 0.727], [0.250, 0.250, 0.734], [0.242, 0.242, 0.273], [0.765, 0.250, 0.734], [0.000, 0.000, 0.500], [0.000, 0.500, 0.500], [0.500, 0.000, 0.500]],
  "e_form_raw_mev_per_atom": -1988,
  "vol_a3_per_cell": 358.95,
  "space_group": "R-3m, No. 166",
  "dos_ef_per_ev_atom": 0.4295
}


{
  "formula": "CeHo2Br",
  "functional": "PBE",
  "state": "relaxed",
  "lattice": [[3.606, 0.000, 0.000], [1.803, 3.123, 0.000], [1.803, 1.041, 10.135]],
  "species": ["Ho", "Ho", "Br", "Ce"],
  "fractional_positions": [[0.743, 0.743, 0.771], [0.257, 0.257, 0.229], [0.000, 0.000, 0.000], [0.500, 0.500, 0.500]],
  "e_form_raw_mev_per_atom": -493,
  "vol_a3_per_cell": 114.13,
  "space_group": "R-3m, No. 166",
  "dos_ef_per_ev_atom": 1.3853
}


{
  "formula": "Li2POs",
  "functional": "PBE",
  "state": "relaxed",
  "lattice": [[4.397, 0.005, 0.006], [3.408, 2.778, 0.006], [1.777, 0.634, 4.405]],
  "species": ["Os", "Li", "Li", "P"],
  "fractional_positions": [[0.532, 0.532, 0.392], [0.973, 0.973, 0.952], [0.745, 0.745, 0.787], [0.250, 0.250, 0.369]],
  "vol_a3_per_cell": 53.71,
  "space_group": "Cm, No. 8",
  "e_form_mev_per_atom": -298,
  "dos_ef_per_ev_atom": 0.4552
}


{
  "formula": "TiBF2",
  "functional": "PBE",
  "state": "relaxed",
  "lattice": [[0.000, 2.752, 2.752], [2.752, 0.000, 2.752], [2.752, 2.752, 0.000]],
  "species": ["B", "Ti", "F", "F"],
  "fractional_positions": [[0.000, 0.000, 0.000], [0.500, 0.500, 0.500], [0.250, 0.250, 0.250], [0.750, 0.750, 0.750]],
  "e_form_raw_mev_per_atom": -557,
  "vol_a3_per_cell": 41.68,
  "space_group": "Fm-3m, No. 225",
  "relative_energy_ev_per_atom": 0.522,
  "dos_ef_per_ev_atom": 0.6567
}


{
  "formula": "Er3Tm2Al2",
  "functional": "PBE",
  "state": "relaxed",
  "lattice": [[-3.398, -0.166, -0.272], [0.286, -2.876, -1.825], [-2.352, -8.659, 13.278]],
  "species": ["Er", "Er", "Er", "Tm", "Tm", "Al", "Al"],
  "fractional_positions": [[0.123, 0.000, 0.753], [0.000, 0.000, 0.000], [0.877, 0.000, 0.247], [0.297, 0.500, 0.406], [0.703, 0.500, 0.594], [0.438, 0.500, 0.124], [0.562, 0.500, 0.876]],
  "vol_a3_per_cell": 185.90,
  "space_group": "Cmmm, No. 65",
  "relative_energy_ev_per_atom": 0.052,
  "e_form_mev_per_atom": -153,
  "dos_ef_per_ev_atom": 0.9559
}


{
  "formula": "AlSn3Pb",
  "functional": "PBE",
  "state": "relaxed",
  "lattice": [[-3.555, -2.414, -3.889], [-0.616, -4.627, 3.436], [-4.536, 2.521, 2.581]],
  "species": ["Sn", "Sn", "Sn", "Pb", "Al"],
  "fractional_positions": [[0.000, 0.500, 0.000], [0.500, 0.000, 0.000], [0.000, 0.000, 0.500], [0.000, 0.000, 0.000], [0.500, 0.500, 0.500]],
  "vol_a3_per_cell": 194.69,
  "space_group": "Pm-3m, No. 221",
  "relative_energy_ev_per_atom": 0.593,
  "e_form_mev_per_atom": 923,
  "dos_ef_per_ev_atom": 0.7584
}


{
  "formula": "LaTc2Ru",
  "functional": "PBE",
  "state": "relaxed",
  "lattice": [[-2.014, 0.209, -4.575], [2.806, -2.216, -1.337], [-2.083, -3.104, 0.775]],
  "species": ["Ru", "Tc", "Tc", "La"],
  "fractional_positions": [[0.500, 0.000, 0.500], [0.000, 0.500, 0.500], [0.000, 0.000, 0.000], [0.500, 0.500, 0.000]],
  "vol_a3_per_cell": 72.91,
  "space_group": "P4/mmm, No. 123",
  "relative_energy_ev_per_atom": 0.337,
  "e_form_mev_per_atom": 580,
  "dos_ef_per_ev_atom": 1.7789
}